Record 1
A plane-wave DFT calculation with PBE was carried out for a relaxed structure of Li3InBr.

Geometry as CIF:
```
data_Li3InBr
_chemical_formula_sum 'Li3 In1 Br1'
_symmetry_space_group_name_H-M 'P m -3 m'
_symmetry_Int_Tables_number 221
_symmetry_space_group_name_Hall '-P 4 2 3'
_cell_length_a 5.411
_cell_length_b 5.411
_cell_length_c 5.411
_cell_angle_alpha 90.00
_cell_angle_beta 90.00
_cell_angle_gamma 90.00
loop_
_atom_site_label
_atom_site_fract_x
_atom_site_fract_y
_atom_site_fract_z
Li1 0.000 0.000 0.500
In1 0.000 0.000 0.000
Br1 0.500 0.500 0.500
```

Calculated values
Polymorph energy (0 for the lowest one) ... 424 meV per atom
Crystal system ... cubic
Total magnetic moment ... 3.0 μB/cell

Record 2
A plane-wave DFT calculation with PBE was carried out for a relaxed structure of Al2In2Br7.

Geometry as CIF:
```
data_Al2In2Br7
_chemical_formula_sum 'Al4 In4 Br14'
_symmetry_space_group_name_H-M 'C 1 2/m 1'
_symmetry_Int_Tables_number 12
_cell_length_a 9.784
_cell_length_b 11.875
_cell_length_c 11.155
_cell_angle_alpha 90.00
_cell_angle_beta 102.84
_cell_angle_gamma 90.00
loop_
_symmetry_equiv_pos_as_xyz
'x,y,z'
'-x,-y,-z'
'-x,y,-z'
'x,-y,z'
'x+1/2,y+1/2,z'
'-x+1/2,-y+1/2,-z'
'-x+1/2,y+1/2,-z'
'x+1/2,-y+1/2,z'
loop_
_atom_site_label
_atom_site_fract_x
_atom_site_fract_y
_atom_site_fract_z
Al1 0.076 0.000 0.233
In1 0.000 0.220 0.500
Br1 0.000 0.000 0.000
Br2 0.124 0.000 0.674
Br3 0.208 0.163 0.310
```

Calculated values
Crystal system ... monoclinic
Total magnetic moment ... 1.9 μB/cell

Record 3
A plane-wave DFT calculation with PBE was carried out for a relaxed structure of Rb2U2ZnSe6.

Geometry as CIF:
```
data_Rb2U2ZnSe6
_chemical_formula_sum 'Rb4 U4 Zn2 Se12'
_symmetry_space_group_name_H-M 'C 1 2/m 1'
_symmetry_Int_Tables_number 12
_cell_length_a 6.974
_cell_length_b 12.831
_cell_length_c 8.538
_cell_angle_alpha 90.00
_cell_angle_beta 105.63
_cell_angle_gamma 90.00
loop_
_symmetry_equiv_pos_as_xyz
'x,y,z'
'-x,-y,-z'
'-x,y,-z'
'x,-y,z'
'x+1/2,y+1/2,z'
'-x+1/2,-y+1/2,-z'
'-x+1/2,y+1/2,-z'
'x+1/2,-y+1/2,z'
loop_
_atom_site_label
_atom_site_fract_x
_atom_site_fract_y
_atom_site_fract_z
Rb1 0.000 0.158 0.000
U1 0.000 0.333 0.500
Zn1 0.000 0.000 0.500
Se1 0.236 0.177 0.695
Se2 0.241 0.000 0.332
```

Calculated values
Crystal system ... monoclinic
Total magnetic moment ... 8.0 μB/cell

no.,uncorrected energy (eV per atom),uncorrected formation energy (eV per atom)
1,-2.0681,-0.037
2,-3.0439,-0.801
3,-5.3193,-1.074